# PBE with a Hubbard U ScMoO3, relaxed
# N(E_F)   1.537 states/eV per cell
# Total energy   -36.65 eV per cell
# Total moment   3.0 μB per formula unit
data_ScMoO3
_chemical_formula_sum 'Sc1 Mo1 O3'
_space_group_name_H-M_alt 'P m -3 m'
_space_group_IT_number 221
_space_group_name_Hall '-P 4 2 3'
_cell_length_a 3.9924
_cell_length_b 3.9924
_cell_length_c 3.9924
_cell_angle_alpha 90.00
_cell_angle_beta 90.00
_cell_angle_gamma 90.00
loop_
_atom_site_label
_atom_site_type_symbol
_atom_site_fract_x
_atom_site_fract_y
_atom_site_fract_z
_atom_site_occupancy
Sc1 Sc 0.0000 0.0000 0.0000 1
Mo1 Mo 0.5000 0.5000 0.5000 1
O1 O 0.0000 0.5000 0.5000 1